# 1
Here is an optimized crystal structure of DyHfPa2P4 from the Alexandria database. Energies are from PBE-GGA.

## Properties
* volume: 168.1 Å³ per cell

Cell and atoms, written as CIF:
```
data_DyHfPa2P4
_space_group_name_H-M_alt 'P 1 2/m 1'
_space_group_IT_number 10
_space_group_name_Hall '-P 2y'
_cell_length_a 6.7216
_cell_length_b 3.9212
_cell_length_c 6.7748
_cell_angle_alpha 90.00
_cell_angle_beta 109.70
_cell_angle_gamma 90.00
loop_
_atom_site_label
_atom_site_type_symbol
_atom_site_fract_x
_atom_site_fract_y
_atom_site_fract_z
_atom_site_occupancy
Dy1 Dy 0.0000 0.0000 0.0000 1
Hf1 Hf 0.0000 0.5000 0.5000 1
Pa1 Pa 0.5000 0.0000 0.5000 1
Pa2 Pa 0.5000 0.5000 0.0000 1
P1 P 0.2388 0.0000 0.7387 1
P2 P 0.2444 0.5000 0.2565 1
```

---

# 2
Here is an optimized crystal structure of Dy2HfPaP4 from the Alexandria database. Energies are from PBE-GGA.

## Properties
* volume: 169.5 Å³ per cell

Cell and atoms, written as CIF:
```
data_Dy2HfPaP4
_space_group_name_H-M_alt 'P 1 2/m 1'
_space_group_IT_number 10
_space_group_name_Hall '-P 2y'
_cell_length_a 6.7464
_cell_length_b 3.9125
_cell_length_c 6.8009
_cell_angle_alpha 90.00
_cell_angle_beta 109.25
_cell_angle_gamma 90.00
loop_
_atom_site_label
_atom_site_type_symbol
_atom_site_fract_x
_atom_site_fract_y
_atom_site_fract_z
_atom_site_occupancy
Dy1 Dy 0.0000 0.0000 0.0000 1
Dy2 Dy 0.5000 0.5000 0.0000 1
Hf1 Hf 0.0000 0.5000 0.5000 1
Pa1 Pa 0.5000 0.0000 0.5000 1
P1 P 0.2384 0.0000 0.7349 1
P2 P 0.2441 0.5000 0.2582 1
```

---

# 3
Here is an optimized crystal structure of PmDy2HfP4 from the Alexandria database. Energies are from PBE-GGA.

## Properties
* volume: 174.5 Å³ per cell

Cell and atoms, written as CIF:
```
data_PmDy2HfP4
_space_group_name_H-M_alt 'P 1 2/m 1'
_space_group_IT_number 10
_space_group_name_Hall '-P 2y'
_cell_length_a 6.8350
_cell_length_b 3.9466
_cell_length_c 6.8508
_cell_angle_alpha 90.00
_cell_angle_beta 109.22
_cell_angle_gamma 90.00
loop_
_atom_site_label
_atom_site_type_symbol
_atom_site_fract_x
_atom_site_fract_y
_atom_site_fract_z
_atom_site_occupancy
Pm1 Pm 0.0000 0.0000 0.0000 1
Dy1 Dy 0.5000 0.0000 0.5000 1
Dy2 Dy 0.5000 0.5000 0.0000 1
Hf1 Hf 0.0000 0.5000 0.5000 1
P1 P 0.2385 0.0000 0.7334 1
P2 P 0.2475 0.5000 0.2631 1
```

---

# 4
Here is an optimized crystal structure of Pm2DyHfP4 from the Alexandria database. Energies are from PBE-GGA.

## Properties
* volume: 178.4 Å³ per cell

Cell and atoms, written as CIF:
```
data_Pm2DyHfP4
_space_group_name_H-M_alt 'P 1 2/m 1'
_space_group_IT_number 10
_space_group_name_Hall '-P 2y'
_cell_length_a 6.8884
_cell_length_b 3.9723
_cell_length_c 6.9043
_cell_angle_alpha 90.00
_cell_angle_beta 109.21
_cell_angle_gamma 90.00
loop_
_atom_site_label
_atom_site_type_symbol
_atom_site_fract_x
_atom_site_fract_y
_atom_site_fract_z
_atom_site_occupancy
Pm1 Pm 0.0000 0.0000 0.0000 1
Pm2 Pm 0.5000 0.5000 0.0000 1
Dy1 Dy 0.0000 0.5000 0.5000 1
Hf1 Hf 0.5000 0.0000 0.5000 1
P1 P 0.2552 0.0000 0.7343 1
P2 P 0.2666 0.5000 0.2717 1
```

---

# 5
Here is an optimized crystal structure of DyPu2HfP4 from the Alexandria database. Energies are from PBE-GGA.

## Properties
* volume: 169.3 Å³ per cell

Cell and atoms, written as CIF:
```
data_DyPu2HfP4
_space_group_name_H-M_alt 'P 1 2/m 1'
_space_group_IT_number 10
_space_group_name_Hall '-P 2y'
_cell_length_a 6.7567
_cell_length_b 3.9162
_cell_length_c 6.7879
_cell_angle_alpha 90.00
_cell_angle_beta 109.53
_cell_angle_gamma 90.00
loop_
_atom_site_label
_atom_site_type_symbol
_atom_site_fract_x
_atom_site_fract_y
_atom_site_fract_z
_atom_site_occupancy
Dy1 Dy 0.0000 0.0000 0.0000 1
Pu1 Pu 0.5000 0.0000 0.5000 1
Pu2 Pu 0.5000 0.5000 0.0000 1
Hf1 Hf 0.0000 0.5000 0.5000 1
P1 P 0.2384 0.0000 0.7374 1
P2 P 0.2450 0.5000 0.2606 1
```

---

# 6
Here is an optimized crystal structure of Dy3HfP2Rh9 from the Alexandria database. Energies are from PBE-GGA.

## Properties
* volume: 284.3 Å³ per cell

Cell and atoms, written as CIF:
```
data_Dy3HfP2Rh9
_space_group_name_H-M_alt 'P -3 m 1'
_space_group_IT_number 164
_space_group_name_Hall '-P 3 2"'
_cell_length_a 5.9942
_cell_length_b 5.9942
_cell_length_c 9.1374
_cell_angle_alpha 90.00
_cell_angle_beta 90.00
_cell_angle_gamma 120.00
loop_
_atom_site_label
_atom_site_type_symbol
_atom_site_fract_x
_atom_site_fract_y
_atom_site_fract_z
_atom_site_occupancy
Dy1 Dy 0.0000 0.0000 0.0000 1
Dy2 Dy 0.3333 0.6667 0.6719 1
Hf1 Hf 0.0000 0.0000 0.5000 1
P1 P 0.3333 0.6667 0.1566 1
Rh1 Rh 0.0000 0.5000 0.0000 1
Rh2 Rh 0.1556 0.3112 0.2841 1
```

---

| no. | ΔE_f (eV per atom) | size of the total moment (Bohr magnetons per cell) |
| --- | --- | --- |
| 1 | -1.37 | 0.00 |
| 2 | -1.45 | 0.00 |
| 3 | -1.50 | 0.00 |
| 4 | -1.50 | 0.00 |
| 5 | -1.31 | 0.19 |
| 6 | -0.63 | 0.00 |